# 1
First-principles (PBE) data for a relaxed SnAuCl4 crystal, as listed in Alexandria via LeMat-Bulk.

formation energy from raw total energies: -3.29 eV per formula unit
E: -0.2199 Ry/atom
density of states at the Fermi level: 0.000 states/eV per atom

CIF file:
```
data_SnAuCl4
_cell_length_a 6.085
_cell_length_b 10.872
_cell_length_c 6.082
_cell_angle_alpha 90.00
_cell_angle_beta 90.00
_cell_angle_gamma 90.00
_symmetry_space_group_name_H-M 'P 1'
_symmetry_Int_Tables_number 1
loop_
_symmetry_equiv_pos_as_xyz
'x,y,z'
loop_
_atom_site_label
_atom_site_type_symbol
_atom_site_fract_x
_atom_site_fract_y
_atom_site_fract_z
_atom_site_occupancy
Cl1 Cl 0.719 0.864 0.779 1
Cl2 Cl 0.281 0.136 0.779 1
Cl3 Cl 0.778 0.380 0.776 1
Cl4 Cl 0.281 0.864 0.221 1
Cl5 Cl 0.778 0.620 0.224 1
Cl6 Cl 0.719 0.136 0.221 1
Cl7 Cl 0.222 0.380 0.224 1
Cl8 Cl 0.222 0.620 0.776 1
Sn1 Sn 0.000 0.500 0.000 1
Sn2 Sn 0.000 0.000 0.500 1
Au1 Au 0.500 0.000 0.500 1
Au2 Au 0.000 0.000 0.000 1
```

***

# 2
First-principles (PBE) data for a relaxed LaZn2CoCl crystal, as listed in Alexandria via LeMat-Bulk.

formation energy from raw total energies: -2.72 eV per formula unit
E: -0.2815 Ry/atom
density of states at the Fermi level: 0.471 states/eV per atom

CIF file:
```
data_LaZn2CoCl
_cell_length_a 4.658
_cell_length_b 5.071
_cell_length_c 4.658
_cell_angle_alpha 90.00
_cell_angle_beta 90.00
_cell_angle_gamma 90.00
_symmetry_space_group_name_H-M 'P 1'
_symmetry_Int_Tables_number 1
loop_
_symmetry_equiv_pos_as_xyz
'x,y,z'
loop_
_atom_site_label
_atom_site_type_symbol
_atom_site_fract_x
_atom_site_fract_y
_atom_site_fract_z
_atom_site_occupancy
La1 La 0.000 0.500 0.000 1
Zn1 Zn 0.000 0.000 0.500 1
Zn2 Zn 0.500 0.000 0.000 1
Co1 Co 0.000 0.000 0.000 1
Cl1 Cl 0.500 0.500 0.500 1
```

***

# 3
First-principles (PBE) data for a relaxed Sm5InGa2 crystal, as listed in Alexandria via LeMat-Bulk.

E: -0.3302 Ry/atom
density of states at the Fermi level: 0.988 states/eV per atom

CIF file:
```
data_Sm5InGa2
_cell_length_a 7.875
_cell_length_b 7.875
_cell_length_c 9.257
_cell_angle_alpha 115.17
_cell_angle_beta 115.17
_cell_angle_gamma 90.00
_symmetry_space_group_name_H-M 'P 1'
_symmetry_Int_Tables_number 1
loop_
_symmetry_equiv_pos_as_xyz
'x,y,z'
loop_
_atom_site_label
_atom_site_type_symbol
_atom_site_fract_x
_atom_site_fract_y
_atom_site_fract_z
_atom_site_occupancy
Ga1 Ga 0.120 0.380 0.000 1
Ga2 Ga 0.620 0.120 0.000 1
Ga3 Ga 0.880 0.620 0.000 1
Ga4 Ga 0.380 0.880 0.000 1
Sm1 Sm 0.474 0.315 0.289 1
Sm2 Sm 0.815 0.974 0.289 1
Sm3 Sm 0.685 0.185 0.711 1
Sm4 Sm 0.500 0.500 0.000 1
Sm5 Sm 0.000 0.000 0.000 1
Sm6 Sm 0.026 0.526 0.711 1
Sm7 Sm 0.526 0.685 0.711 1
Sm8 Sm 0.974 0.474 0.289 1
Sm9 Sm 0.185 0.026 0.711 1
Sm10 Sm 0.315 0.815 0.289 1
In1 In 0.750 0.750 0.500 1
In2 In 0.250 0.250 0.500 1
```